[1]
The following is a DFT calculation (PBE) of crystalline CeGeRu3 at its relaxed geometry.

Output
As for the volume: 19.40 A^3/atom. The value obtained for the total magnetic moment is 0.00 μB/f.u. Its space group is Cmcm.

Unit cell a=6.946 b=6.946 c=4.593 alpha=90.00 beta=90.00 gamma=118.89
Positions (direct):
Ce 0.066 0.934 0.750
Ce 0.934 0.066 0.250
Ge 0.305 0.695 0.750
Ge 0.695 0.305 0.250
Ru 0.007 0.340 0.750
Ru 0.340 0.007 0.250
Ru 0.500 0.500 0.000
Ru 0.500 0.500 0.500
Ru 0.660 0.993 0.750
Ru 0.993 0.660 0.250

---

[2]
The following is a DFT calculation (PBE) of crystalline Rb2AcBiSe4 at its relaxed geometry.

Output
As for the volume: 35.05 A^3/atom. The value obtained for the total magnetic moment is 0.00 μB/f.u. Its space group is P2/m. For the uncorrected formation energy, the calculation gives -1.288 eV/atom.

Unit cell a=7.741 b=4.495 c=8.468 alpha=90.00 beta=107.89 gamma=90.00
Positions (direct):
Rb 0.000 0.000 0.000
Rb 0.500 0.500 0.000
Ac 0.000 0.500 0.500
Bi 0.500 0.000 0.500
Se 0.246 0.000 0.707
Se 0.275 0.500 0.297
Se 0.725 0.500 0.703
Se 0.754 0.000 0.293

---

[3]
The following is a DFT calculation (PBE) of crystalline GeTeAu3 at its relaxed geometry.

Output
As for the volume: 24.27 A^3/atom. The value obtained for the total magnetic moment is 0.00 μB/f.u. Its space group is Pm-3m. For the uncorrected formation energy, the calculation gives 0.475 eV/atom. The energy relative to the lowest polymorph listed for this composition is 404 meV/atom.

Unit cell a=4.951 b=4.951 c=4.951 alpha=90.00 beta=90.00 gamma=90.00
Positions (direct):
Ge 0.000 0.000 0.000
Te 0.500 0.500 0.500
Au 0.000 0.000 0.500
Au 0.000 0.500 0.000
Au 0.500 0.000 0.000

---

[4]
The following is a DFT calculation (PBE) of crystalline KNa2ZnHg4 at its relaxed geometry.

Output
As for the volume: 28.69 A^3/atom. The value obtained for the total magnetic moment is 0.00 μB/f.u. Its space group is R-3m.

Unit cell a=9.980 b=9.980 c=9.980 alpha=30.69 beta=30.69 gamma=30.69
Positions (direct):
K 0.000 0.000 0.000
Na 0.233 0.233 0.233
Na 0.767 0.767 0.767
Zn 0.500 0.500 0.500
Hg 0.123 0.123 0.123
Hg 0.403 0.403 0.403
Hg 0.597 0.597 0.597
Hg 0.877 0.877 0.877

---

Number 1: electronic total energy -7.21 eV/atom. Number 2: electronic total energy -4.27 eV/atom. Number 3: electronic total energy -3.04 eV/atom. Number 4: electronic total energy -0.93 eV/atom.